Record 1
## Ba2YTlF8 (PBE)

Data for a geometry-optimized Ba2YTlF8 structure.

Cell and atoms, written as CIF:
```
data_Ba2YTlF8
_cell_length_a 6.039
_cell_length_b 6.039
_cell_length_c 12.343
_cell_angle_alpha 90.00
_cell_angle_beta 90.00
_cell_angle_gamma 90.00
_symmetry_space_group_name_H-M 'I -4 m 2'
_symmetry_Int_Tables_number 119
_symmetry_space_group_name_Hall 'I -4 -2'
loop_
_atom_site_label
_atom_site_type_symbol
_atom_site_fract_x
_atom_site_fract_y
_atom_site_fract_z
_atom_site_occupancy
Ba1 Ba 0.000 0.000 0.000 1
Ba2 Ba 0.000 0.500 0.250 1
Y1 Y 0.000 0.500 0.750 1
Tl1 Tl 0.000 0.000 0.500 1
F1 F 0.218 0.267 0.859 1
```

Record 2
## Ba2TmF8 (PBE)

Data for a geometry-optimized Ba2TmF8 structure.

Cell and atoms, written as CIF:
```
data_Ba2TmF8
_cell_length_a 17.731
_cell_length_b 4.179
_cell_length_c 5.168
_cell_angle_alpha 90.00
_cell_angle_beta 106.43
_cell_angle_gamma 90.00
_symmetry_space_group_name_H-M 'C 1 2/m 1'
_symmetry_Int_Tables_number 12
loop_
_symmetry_equiv_pos_as_xyz
'x,y,z'
'-x,-y,-z'
'-x,y,-z'
'x,-y,z'
'x+1/2,y+1/2,z'
'-x+1/2,-y+1/2,-z'
'-x+1/2,y+1/2,-z'
'x+1/2,-y+1/2,z'
loop_
_atom_site_label
_atom_site_type_symbol
_atom_site_fract_x
_atom_site_fract_y
_atom_site_fract_z
_atom_site_occupancy
Ba1 Ba 0.167 0.000 0.173 1
Tm1 Tm 0.000 0.500 0.500 1
F1 F 0.005 0.000 0.285 1
F2 F 0.097 0.500 0.868 1
F3 F 0.109 0.500 0.388 1
F4 F 0.231 0.000 0.738 1
```

Record 3
## BaU2F11 (PBE)

Data for a geometry-optimized BaU2F11 structure.

Cell and atoms, written as CIF:
```
data_BaU2F11
_cell_length_a 8.623
_cell_length_b 10.771
_cell_length_c 12.269
_cell_angle_alpha 90.00
_cell_angle_beta 90.00
_cell_angle_gamma 90.00
_symmetry_space_group_name_H-M 'I b a m'
_symmetry_Int_Tables_number 72
_symmetry_space_group_name_Hall '-I 2 2c'
loop_
_atom_site_label
_atom_site_type_symbol
_atom_site_fract_x
_atom_site_fract_y
_atom_site_fract_z
_atom_site_occupancy
Ba1 Ba 0.000 0.000 0.250 1
U1 U 0.145 0.321 0.000 1
F1 F 0.000 0.500 0.000 1
F2 F 0.090 0.195 0.128 1
F3 F 0.138 0.283 0.500 1
F4 F 0.242 0.074 0.377 1
```

Raw formation energy? In order: -3585; -3586; -3697 meV per atom.